Entry from Alexandria: crystalline TlCd2Si at its relaxed geometry (PBE).

## Properties
**DOS at the Fermi energy**: 0.318 states/eV per atom
**Energy relative to the elements, uncorrected**: 0.300 eV per atom
**Energy above the most stable polymorph in this dataset**: 22 meV/atom
**Calculated total energy**: -2.10 eV/atom
**Crystal system**: orthorhombic

abc: 3.0846 4.1926 7.3158
angles: 90.00 90.00 90.00
Fractional positions:
Tl1 0.0000 0.0000 0.0000
Cd1 0.0000 0.0000 0.5393
Cd2 0.5000 0.5000 0.2952
Si1 0.5000 0.5000 0.7265